A plane-wave DFT calculation with PBE-GGA was carried out for a geometry-optimized Ac4La3Pm4 structure.

The value obtained for the density of states at the Fermi level is 18.08 states/eV per cell. Its formation energy is 166 meV per atom. The total energy comes out at -4.399 eV/atom. The magnetic moment comes out at 0.00 μB per cell.

Lattice parameters (Å, degrees): 13.0194 13.0194 13.0194 163.26 135.96 47.44
Element x y z (fractional)
Ac  0.1861  0.0000  0.1861
Ac  0.2432  0.2432  0.0000
Ac  0.7568  0.7568  0.0000
Ac  0.8139  0.0000  0.8139
La  0.1121  0.6121  0.5000
La  0.5000  0.5000  0.0000
La  0.8879  0.3879  0.5000
Pm  0.1889  0.8610  0.3278
Pm  0.4668  0.1390  0.3278
Pm  0.5332  0.8610  0.6722
Pm  0.8111  0.1390  0.6722